# Tl2Mo3O9

Crystalline Tl2Mo3O9 at its relaxed geometry (PBE with a Hubbard U, Alexandria).

CIF file:
```
data_Tl2Mo3O9
_chemical_formula_sum 'Tl8 Mo12 O36'
_cell_length_a 9.871
_cell_length_b 15.203
_cell_length_c 9.008
_cell_angle_alpha 90.00
_cell_angle_beta 121.88
_cell_angle_gamma 90.00
_symmetry_space_group_name_H-M 'C 1 2/m 1'
_symmetry_Int_Tables_number 12
loop_
_symmetry_equiv_pos_as_xyz
'x,y,z'
'-x,-y,-z'
'-x,y,-z'
'x,-y,z'
'x+1/2,y+1/2,z'
'-x+1/2,-y+1/2,-z'
'-x+1/2,y+1/2,-z'
'x+1/2,-y+1/2,z'
loop_
_atom_site_label
_atom_site_fract_x
_atom_site_fract_y
_atom_site_fract_z
Tl1 0.066 0.154 0.266
Mo1 0.170 0.383 0.215
Mo2 0.174 0.500 0.880
O1 0.000 0.321 0.000
O2 0.015 0.414 0.757
O3 0.200 0.000 0.202
O4 0.207 0.196 0.632
O5 0.234 0.086 0.928
O6 0.247 0.500 0.319
```

Total DFT energy (no corrections), eV/f.u.: -89.565
M_tot, μB/cell: 8.1